This record from Alexandria describes an optimized crystal structure of HfTi2InH. The functional is PBE.

The structure in extended XYZ format:
```
5
Lattice="4.109 0.000 0.000 0.000 4.109 0.000 0.000 0.000 4.718" Properties=species:S:1:pos:R:3 pbc="T T T"
Hf 0.000 0.000 0.000
Ti 0.000 2.055 2.359
Ti 2.055 0.000 2.359
In 2.055 2.055 0.000
H 2.055 2.055 2.359
```

Values from the calculation:
Its symmetry is P4/mmm (123). For the excess energy over the best structure of this formula in the dataset, the calculation gives 0.178 eV/atom. As for the calculated total energy: -6.44 eV/atom.

=====

This record from Alexandria describes an optimized crystal structure of Hf2ZnInH. The functional is PBE.

The structure in extended XYZ format:
```
5
Lattice="4.287 0.000 0.000 0.000 4.287 0.000 0.000 0.000 4.429" Properties=species:S:1:pos:R:3 pbc="T T T"
Hf 0.000 2.144 0.000
Hf 2.144 0.000 0.000
Zn 0.000 0.000 2.215
In 2.144 2.144 2.215
H 0.000 0.000 0.000
```

Values from the calculation:
Its symmetry is P4/mmm (123). As for the calculated total energy: -5.60 eV/atom.

=====

This record from Alexandria describes an optimized crystal structure of Hf2ZrInH. The functional is PBE.

The structure in extended XYZ format:
```
5
Lattice="4.451 0.000 0.000 0.000 4.451 0.000 0.000 0.000 4.461" Properties=species:S:1:pos:R:3 pbc="T T T"
Hf 0.000 2.226 0.000
Hf 2.226 0.000 0.000
Zr 0.000 0.000 2.230
In 2.226 2.226 2.230
H 0.000 0.000 0.000
```

Values from the calculation:
Its symmetry is P4/mmm (123). For the excess energy over the best structure of this formula in the dataset, the calculation gives 0.000 eV/atom. As for the calculated total energy: -7.19 eV/atom.

=====

This record from Alexandria describes an optimized crystal structure of HfZr2InH. The functional is PBE.

The structure in extended XYZ format:
```
5
Lattice="4.289 0.000 0.000 0.000 4.289 0.000 0.000 0.000 4.960" Properties=species:S:1:pos:R:3 pbc="T T T"
Hf 0.000 0.000 0.000
Zr 0.000 2.144 2.480
Zr 2.144 0.000 2.480
In 2.144 2.144 0.000
H 2.144 2.144 2.480
```

Values from the calculation:
Its symmetry is P4/mmm (123). For the excess energy over the best structure of this formula in the dataset, the calculation gives 0.135 eV/atom. As for the calculated total energy: -6.82 eV/atom.

=====

This record from Alexandria describes an optimized crystal structure of Hf2ZrInH. The functional is PBE.

The structure in extended XYZ format:
```
5
Lattice="4.280 0.000 0.000 0.000 4.280 0.000 0.000 0.000 4.937" Properties=species:S:1:pos:R:3 pbc="T T T"
Hf 0.000 2.140 0.000
Hf 2.140 0.000 0.000
Zr 0.000 0.000 2.469
In 2.140 2.140 2.469
H 2.140 2.140 0.000
```

Values from the calculation:
Its symmetry is P4/mmm (123). For the excess energy over the best structure of this formula in the dataset, the calculation gives 0.119 eV/atom. As for the calculated total energy: -7.07 eV/atom.

=====

This record from Alexandria describes an optimized crystal structure of HfZr2InH. The functional is PBE.

The structure in extended XYZ format:
```
5
Lattice="4.475 0.000 0.000 0.000 4.475 0.000 0.000 0.000 4.463" Properties=species:S:1:pos:R:3 pbc="T T T"
Hf 0.000 0.000 0.000
Zr 0.000 2.237 2.232
Zr 2.237 0.000 2.232
In 2.237 2.237 0.000
H 0.000 0.000 2.232
```

Values from the calculation:
Its symmetry is P4/mmm (123). For the excess energy over the best structure of this formula in the dataset, the calculation gives 0.000 eV/atom. As for the calculated total energy: -6.95 eV/atom.

=====

This record from Alexandria describes an optimized crystal structure of Hf2HIr. The functional is PBE.

The structure in extended XYZ format:
```
4
Lattice="0.000 3.184 3.184 3.184 0.000 3.184 3.184 3.184 0.000" Properties=species:S:1:pos:R:3 pbc="T T T"
Hf 1.592 1.592 1.592
Hf 4.776 4.776 4.776
H 0.000 0.000 0.000
Ir 3.184 3.184 3.184
```

Values from the calculation:
Its symmetry is Fm-3m (225). For the excess energy over the best structure of this formula in the dataset, the calculation gives 0.202 eV/atom. As for the calculated total energy: -8.29 eV/atom.

=====

This record from Alexandria describes an optimized crystal structure of Hf4HIr2. The functional is PBE.

The structure in extended XYZ format:
```
7
Lattice="-2.099 2.099 6.951 2.099 -2.099 6.951 2.099 2.099 -6.951" Properties=species:S:1:pos:R:3 pbc="T T T"
Hf 2.099 0.000 0.000
Hf 0.000 0.000 2.558
Hf 0.000 2.099 0.000
Hf 0.000 0.000 11.344
H 0.000 0.000 0.000
Ir 0.000 0.000 5.084
Ir 0.000 0.000 8.818
```

Values from the calculation:
Its symmetry is I4/mmm (139). As for the calculated total energy: -9.21 eV/atom.

=====

This record from Alexandria describes an optimized crystal structure of HfHIr3. The functional is PBE.

The structure in extended XYZ format:
```
5
Lattice="4.882 0.000 0.000 0.000 4.882 0.000 0.000 0.000 4.882" Properties=species:S:1:pos:R:3 pbc="T T T"
Hf 0.000 0.000 0.000
H 2.441 2.441 2.441
Ir 0.000 0.000 2.441
Ir 0.000 2.441 0.000
Ir 2.441 0.000 0.000
```

Values from the calculation:
Its symmetry is Pm-3m (221). For the excess energy over the best structure of this formula in the dataset, the calculation gives 2.810 eV/atom. As for the calculated total energy: -5.78 eV/atom.

=====

This record from Alexandria describes an optimized crystal structure of Hf5HIr2. The functional is PBE.

The structure in extended XYZ format:
```
8
Lattice="0.000 4.634 3.384 4.620 0.000 3.384 4.620 4.634 0.000" Properties=species:S:1:pos:R:3 pbc="T T T"
Hf 0.000 0.000 0.000
Hf 4.620 2.317 1.695
Hf 6.931 4.634 1.696
Hf 4.620 6.951 1.695
Hf 2.310 4.634 1.696
H 4.620 4.634 1.995
Ir 2.310 2.317 0.014
Ir 6.930 6.951 3.397
```

Values from the calculation:
Its symmetry is Fmm2 (42). As for the calculated total energy: -9.19 eV/atom.

=====

This record from Alexandria describes an optimized crystal structure of HfHIr3. The functional is PBE.

The structure in extended XYZ format:
```
5
Lattice="4.013 0.000 0.000 0.000 4.013 0.000 0.000 0.000 4.013" Properties=species:S:1:pos:R:3 pbc="T T T"
Hf 0.000 0.000 0.000
H 2.006 2.006 2.006
Ir 0.000 2.006 2.006
Ir 2.006 0.000 2.006
Ir 2.006 2.006 0.000
```

Values from the calculation:
Its symmetry is Pm-3m (221). For the excess energy over the best structure of this formula in the dataset, the calculation gives 0.000 eV/atom. As for the calculated total energy: -8.59 eV/atom.

=====

This record from Alexandria describes an optimized crystal structure of HfH3Ir. The functional is PBE.

The structure in extended XYZ format:
```
5
Lattice="3.554 0.000 0.000 0.000 3.554 0.000 0.000 0.000 3.554" Properties=species:S:1:pos:R:3 pbc="T T T"
Hf 0.000 0.000 0.000
H 0.000 1.777 1.777
H 1.777 0.000 1.777
H 1.777 1.777 0.000
Ir 1.777 1.777 1.777
```

Values from the calculation:
Its symmetry is Pm-3m (221). As for the calculated total energy: -5.92 eV/atom.

=====

This record from Alexandria describes an optimized crystal structure of Hf2HIr6. The functional is PBE.

The structure in extended XYZ format:
```
9
Lattice="-2.825 2.825 3.974 2.825 -2.825 3.974 2.825 2.825 -3.974" Properties=species:S:1:pos:R:3 pbc="T T T"
Hf 2.825 0.000 1.987
Hf 0.000 2.825 1.987
H 0.000 0.000 0.000
Ir 0.000 0.000 2.011
Ir 1.428 1.428 0.000
Ir 1.397 -1.397 3.974
Ir -1.397 1.397 3.974
Ir 0.000 0.000 5.937
Ir 1.397 1.397 3.974
```

Values from the calculation:
Its symmetry is I4/mmm (139). As for the calculated total energy: -9.20 eV/atom.

=====

This record from Alexandria describes an optimized crystal structure of Hf4HIr. The functional is PBE.

The structure in extended XYZ format:
```
12
Lattice="5.710 0.000 0.000 0.000 5.950 0.000 -1.337 0.000 6.352" Properties=species:S:1:pos:R:3 pbc="T T T"
Hf 0.484 0.855 1.176
Hf -0.185 2.120 4.352
Hf 1.663 3.779 0.701
Hf 0.994 5.146 3.877
Hf 3.379 0.804 2.475
Hf 2.711 2.171 5.651
Hf 4.558 3.830 2.000
Hf 3.890 5.094 5.176
H -0.668 0.000 3.176
H 0.000 2.975 0.000
Ir 2.855 0.000 0.000
Ir 2.187 2.975 3.176
```

Values from the calculation:
Its symmetry is P2_1/c (14). As for the calculated total energy: -8.93 eV/atom.

=====

This record from Alexandria describes an optimized crystal structure of HfH3Ir. The functional is PBE.

The structure in extended XYZ format:
```
5
Lattice="3.635 0.000 0.000 0.000 3.635 0.000 0.000 0.000 3.635" Properties=species:S:1:pos:R:3 pbc="T T T"
Hf 0.000 0.000 0.000
H 0.000 0.000 1.818
H 0.000 1.818 0.000
H 1.818 0.000 0.000
Ir 1.818 1.818 1.818
```

Values from the calculation:
Its symmetry is Pm-3m (221). As for the calculated total energy: -5.38 eV/atom.

=====

This record from Alexandria describes an optimized crystal structure of Hf2HIr. The functional is PBE.

The structure in extended XYZ format:
```
8
Lattice="-3.086 3.086 3.274 3.086 -3.086 3.274 3.086 3.086 -3.274" Properties=species:S:1:pos:R:3 pbc="T T T"
Hf 4.629 1.101 -0.819
Hf 1.101 1.543 0.819
Hf -1.543 1.986 2.456
Hf 1.986 1.543 4.093
H 0.000 0.000 0.000
H 0.000 3.086 1.637
Ir 3.086 0.000 1.637
Ir 0.000 0.000 3.274
```

Values from the calculation:
Its symmetry is I-42d (122). For the excess energy over the best structure of this formula in the dataset, the calculation gives 0.000 eV/atom. As for the calculated total energy: -8.49 eV/atom.

=====

This record from Alexandria describes an optimized crystal structure of Hf3H3Ir. The functional is PBE.

The structure in extended XYZ format:
```
14
Lattice="2.890 1.669 6.495 -2.890 1.669 6.495 0.000 -3.338 6.495" Properties=species:S:1:pos:R:3 pbc="T T T"
Hf -1.944 0.043 8.317
Hf -1.010 -1.662 11.169
Hf 0.935 -1.706 8.317
Hf -0.935 1.706 11.169
Hf 1.010 1.662 8.317
Hf 1.944 -0.043 11.169
H -0.989 -1.630 9.130
H -1.906 0.041 10.356
H -0.917 1.671 9.130
H 0.917 -1.671 10.356
H 1.906 -0.041 9.130
H 0.989 1.630 10.356
Ir 0.000 0.000 6.496
Ir 0.000 0.000 12.989
```

Values from the calculation:
Its symmetry is R-3 (148). As for the calculated total energy: -7.36 eV/atom.

=====

This record from Alexandria describes an optimized crystal structure of Hf3HIr. The functional is PBE.

The structure in extended XYZ format:
```
5
Lattice="5.053 0.000 0.000 0.000 5.053 0.000 0.000 0.000 5.053" Properties=species:S:1:pos:R:3 pbc="T T T"
Hf 0.000 0.000 2.527
Hf 0.000 2.527 0.000
Hf 2.527 0.000 0.000
H 2.527 2.527 2.527
Ir 0.000 0.000 0.000
```

Values from the calculation:
Its symmetry is Pm-3m (221). For the excess energy over the best structure of this formula in the dataset, the calculation gives 1.347 eV/atom. As for the calculated total energy: -7.61 eV/atom.

=====

This record from Alexandria describes an optimized crystal structure of Hf3H12Ir5. The functional is PBE.

The structure in extended XYZ format:
```
80
Lattice="-5.627 5.627 5.627 5.627 -5.627 5.627 5.627 5.627 -5.627" Properties=species:S:1:pos:R:3 pbc="T T T"
Hf 2.813 1.407 0.000
Hf 5.627 2.813 -1.407
Hf 1.407 0.000 2.813
Hf 7.033 0.000 2.813
Hf 0.000 2.813 1.407
Hf 2.813 -1.407 5.627
Hf 2.813 7.033 0.000
Hf 5.627 2.813 4.220
Hf -1.407 5.627 2.813
Hf 4.220 5.627 2.813
Hf 0.000 2.813 7.033
Hf 2.813 4.220 5.627
H 1.664 -0.280 0.686
H 6.776 3.499 -3.093
H 7.290 0.280 0.686
H 6.776 -2.127 3.093
H 5.347 -0.686 1.664
H 8.720 -1.149 2.127
H 0.686 1.664 -0.280
H 7.754 2.533 -1.149
H 3.499 3.093 -1.149
H 4.940 1.664 0.280
H -0.280 0.686 1.664
H 3.093 -1.149 3.499
H 5.347 4.940 -1.664
H 3.093 1.149 2.127
H 3.499 -3.093 6.776
H 4.940 -1.664 5.347
H 2.127 3.093 1.149
H 6.313 3.963 0.280
H 3.093 6.776 -2.127
H 5.347 0.686 3.963
H 1.664 5.347 -0.686
H 6.776 2.127 2.533
H 1.149 2.127 3.093
H 1.664 0.280 4.940
H 3.963 5.347 0.686
H 4.477 3.499 2.533
H -1.149 3.499 3.093
H 3.963 0.280 6.313
H 0.280 4.940 1.664
H 2.533 -1.149 7.754
H -0.686 1.664 5.347
H 3.499 2.533 4.477
H 0.686 7.290 0.280
H 2.127 8.720 -1.149
H 2.533 4.477 3.499
H 0.280 0.686 7.290
H 2.533 6.776 2.127
H 5.906 4.940 3.963
H 0.686 3.963 5.347
H 2.127 2.533 6.776
H -2.127 3.093 6.776
H 4.940 3.963 5.906
H -3.093 6.776 3.499
H 0.280 6.313 3.963
H -1.149 7.754 2.533
H -1.664 5.347 4.940
H -1.149 2.127 8.720
H 3.963 5.906 4.940
Ir 0.000 0.000 0.000
Ir 2.813 2.813 -2.813
Ir 2.813 -2.813 2.813
Ir 5.627 0.000 0.000
Ir 8.440 1.407 0.000
Ir 5.627 -2.813 4.220
Ir 4.220 5.627 -2.813
Ir 4.220 0.000 2.813
Ir 2.813 4.220 0.000
Ir 5.627 2.813 1.407
Ir -2.813 2.813 2.813
Ir 0.000 5.627 0.000
Ir 0.000 0.000 5.627
Ir 2.813 2.813 2.813
Ir 0.000 2.813 4.220
Ir 2.813 1.407 5.627
Ir 1.407 5.627 2.813
Ir 1.407 0.000 8.440
Ir 0.000 8.440 1.407
Ir -2.813 4.220 5.627
```

Values from the calculation:
Its symmetry is Ia-3d (230). As for the calculated total energy: -5.74 eV/atom.

=====

This record from Alexandria describes an optimized crystal structure of Hf6HIr2. The functional is PBE.

The structure in extended XYZ format:
```
18
Lattice="5.887 0.000 0.000 0.000 6.263 0.000 -5.480 0.000 9.126" Properties=species:S:1:pos:R:3 pbc="T T T"
Hf -1.977 1.337 4.083
Hf -4.717 1.795 8.646
Hf -0.609 4.323 4.091
Hf -3.349 5.071 8.654
Hf 1.097 0.188 2.260
Hf -1.643 2.943 6.823
Hf 2.050 3.319 2.303
Hf -0.690 6.075 6.866
Hf 3.756 1.192 0.472
Hf 1.016 1.940 5.035
Hf 5.124 4.468 0.480
Hf 2.384 4.926 5.043
H 0.204 0.000 4.563
H 2.944 3.131 0.000
Ir -3.214 0.727 6.747
Ir -0.474 2.405 2.184
Ir 0.881 3.858 6.942
Ir 3.621 5.536 2.379
```

Values from the calculation:
Its symmetry is P2_1/c (14). As for the calculated total energy: -9.47 eV/atom.

=====

This record from Alexandria describes an optimized crystal structure of Hf2HIr. The functional is PBE.

The structure in extended XYZ format:
```
4
Lattice="1.743 1.006 6.140 -1.743 1.006 6.140 0.000 -2.012 6.140" Properties=species:S:1:pos:R:3 pbc="T T T"
Hf 0.000 0.000 4.418
Hf 0.000 0.000 14.002
H 0.000 0.000 9.210
Ir 0.000 0.000 0.000
```

Values from the calculation:
Its symmetry is R-3m (166). For the excess energy over the best structure of this formula in the dataset, the calculation gives 0.191 eV/atom. As for the calculated total energy: -8.30 eV/atom.